Run P
A plane-wave DFT calculation with PBE was carried out for a relaxed CaNd2Tm crystal. Values from VASP.

Structure (Quantum ESPRESSO input):
```
&SYSTEM
  ibrav = 0, nat = 4, ntyp = 3
/
ATOMIC_SPECIES
Ca 40.08 Ca.upf
Tm 168.93 Tm.upf
Nd 144.24 Nd.upf
CELL_PARAMETERS angstrom
3.5917 0.0000 0.0000
1.7959 3.1105 0.0000
1.7959 1.0368 12.8147
ATOMIC_POSITIONS crystal
Ca 0.0000 0.0000 0.0000
Tm 0.5000 0.5000 0.5000
Nd 0.0922 0.0922 0.7235
Nd 0.9078 0.9078 0.2765
```

Summary:
**Density of states at the Fermi level**: 1.130 states/eV per atom

---

Run Q
A plane-wave DFT calculation with PBE was carried out for a relaxed CaNd2Tm crystal. Values from VASP.

Structure (Quantum ESPRESSO input):
```
&SYSTEM
  ibrav = 0, nat = 4, ntyp = 3
/
ATOMIC_SPECIES
Ca 40.08 Ca.upf
Nd 144.24 Nd.upf
Tm 168.93 Tm.upf
CELL_PARAMETERS angstrom
3.6466 0.0000 0.0000
1.8233 3.1580 0.0000
1.8233 1.0527 12.1555
ATOMIC_POSITIONS crystal
Ca 0.5000 0.5000 0.5000
Nd 0.7447 0.7447 0.7660
Nd 0.2553 0.2553 0.2340
Tm 0.0000 0.0000 0.0000
```

Summary:
**Density of states at the Fermi level**: 1.269 states/eV per atom

---

Energies relative to the minimum, meV/atom: run P 95; run Q 0

---

Run P
A plane-wave DFT calculation with PBE was carried out for a relaxed CaNd2Y crystal. Values from VASP.

Structure (Quantum ESPRESSO input):
```
&SYSTEM
  ibrav = 0, nat = 4, ntyp = 3
/
ATOMIC_SPECIES
Y 88.91 Y.upf
Ca 40.08 Ca.upf
Nd 144.24 Nd.upf
CELL_PARAMETERS angstrom
-0.6887 -3.8968 -0.5709
1.2337 -1.0592 5.7417
-5.7474 0.8129 1.3849
ATOMIC_POSITIONS crystal
Y 0.5000 0.0000 0.0000
Ca 0.5000 0.5000 0.5000
Nd 0.0000 0.0000 0.5000
Nd 0.0000 0.5000 0.0000
```

Summary:
**Density of states at the Fermi level**: 1.690 states/eV per atom

---

Run Q
A plane-wave DFT calculation with PBE was carried out for a relaxed CaNd2Y crystal. Values from VASP.

Structure (Quantum ESPRESSO input):
```
&SYSTEM
  ibrav = 0, nat = 4, ntyp = 3
/
ATOMIC_SPECIES
Y 88.91 Y.upf
Ca 40.08 Ca.upf
Nd 144.24 Nd.upf
CELL_PARAMETERS angstrom
3.6719 0.0000 0.0000
0.0000 3.6719 0.0000
0.0000 0.0000 10.6018
ATOMIC_POSITIONS crystal
Y 0.5000 0.5000 0.0000
Ca 0.5000 0.5000 0.5000
Nd 0.0000 0.0000 0.7641
Nd 0.0000 0.0000 0.2359
```

Summary:
**Density of states at the Fermi level**: 1.481 states/eV per atom

---

Energies relative to the minimum, meV/atom: run P 65; run Q 0

---

Run P
A plane-wave DFT calculation with PBE was carried out for a relaxed CaNd2Y crystal. Values from VASP.

Structure (Quantum ESPRESSO input):
```
&SYSTEM
  ibrav = 0, nat = 8, ntyp = 3
/
ATOMIC_SPECIES
Ca 40.08 Ca.upf
Nd 144.24 Nd.upf
Y 88.91 Y.upf
CELL_PARAMETERS angstrom
-1.4013 -0.0080 -3.2630
-3.5699 -5.3349 1.5463
-8.8538 6.4656 5.7188
ATOMIC_POSITIONS crystal
Ca 0.4989 0.2484 0.9978
Ca 0.5011 0.7516 0.0022
Nd 0.1268 0.9716 0.2537
Nd 0.3645 0.5415 0.7290
Nd 0.6355 0.4585 0.2710
Nd 0.8732 0.0284 0.7463
Y 0.2518 0.2483 0.5037
Y 0.7482 0.7517 0.4963
```

Summary:
**Density of states at the Fermi level**: 1.348 states/eV per atom

---

Run Q
A plane-wave DFT calculation with PBE was carried out for a relaxed CaNd2Y crystal. Values from VASP.

Structure (Quantum ESPRESSO input):
```
&SYSTEM
  ibrav = 0, nat = 4, ntyp = 3
/
ATOMIC_SPECIES
Ca 40.08 Ca.upf
Nd 144.24 Nd.upf
Y 88.91 Y.upf
CELL_PARAMETERS angstrom
3.6714 0.0000 0.0000
1.8357 3.1795 0.0000
1.8357 1.0598 12.2242
ATOMIC_POSITIONS crystal
Ca 0.5001 0.5001 0.4996
Nd 0.0788 0.0788 0.7637
Nd 0.2546 0.2546 0.2362
Y 0.6665 0.6665 0.0005
```

Summary:
**Density of states at the Fermi level**: 1.313 states/eV per atom

---

Energies relative to the minimum, meV/atom: run P 59; run Q 0

---

Run P
A plane-wave DFT calculation with PBE was carried out for a relaxed CaNd7Y3 crystal. Values from VASP.

Structure (Quantum ESPRESSO input):
```
&SYSTEM
  ibrav = 0, nat = 11, ntyp = 3
/
ATOMIC_SPECIES
Ca 40.08 Ca.upf
Nd 144.24 Nd.upf
Y 88.91 Y.upf
CELL_PARAMETERS angstrom
-2.9939 -4.8231 -3.3489
3.7983 -5.7137 3.8279
-5.3164 -1.3102 5.6344
ATOMIC_POSITIONS crystal
Ca 0.5000 0.5000 0.5000
Nd 0.7915 0.2350 0.2350
Nd 0.7446 0.9204 0.5749
Nd 0.2554 0.4251 0.0796
Nd 0.7446 0.5749 0.9204
Nd 0.0000 0.5000 0.5000
Nd 0.2554 0.0796 0.4251
Nd 0.2085 0.7650 0.7650
Y 0.0000 0.8325 0.1675
Y 0.5000 0.0000 0.0000
Y 0.0000 0.1675 0.8325
```

Summary:
**Density of states at the Fermi level**: 1.401 states/eV per atom

---

Run Q
A plane-wave DFT calculation with PBE was carried out for a relaxed CaNd7Y3 crystal. Values from VASP.

Structure (Quantum ESPRESSO input):
```
&SYSTEM
  ibrav = 0, nat = 11, ntyp = 3
/
ATOMIC_SPECIES
Ca 40.08 Ca.upf
Nd 144.24 Nd.upf
Y 88.91 Y.upf
CELL_PARAMETERS angstrom
8.8140 0.0000 0.0000
0.0000 7.2647 0.0000
0.0000 -3.6323 6.2914
ATOMIC_POSITIONS crystal
Ca 0.4447 0.3333 0.6667
Nd 0.1070 0.1644 0.8356
Nd 0.1070 0.1644 0.3289
Nd 0.1256 0.6667 0.3333
Nd 0.4538 0.8317 0.1683
Nd 0.4538 0.3367 0.1683
Nd 0.4538 0.8317 0.6633
Nd 0.1070 0.6711 0.8356
Y 0.7874 0.5021 0.4979
Y 0.7874 0.5021 0.0041
Y 0.7874 0.9959 0.4979
```

Summary:
**Density of states at the Fermi level**: 1.508 states/eV per atom

---

Energies relative to the minimum, meV/atom: run P 17; run Q 0

---

Run P
A plane-wave DFT calculation with PBE was carried out for a relaxed Ca2Nd4Y crystal. Values from VASP.

Structure (Quantum ESPRESSO input):
```
&SYSTEM
  ibrav = 0, nat = 7, ntyp = 3
/
ATOMIC_SPECIES
Ca 40.08 Ca.upf
Nd 144.24 Nd.upf
Y 88.91 Y.upf
CELL_PARAMETERS angstrom
5.7755 0.0000 0.0000
0.0000 5.7755 0.0000
-2.8877 -2.8877 9.0124
ATOMIC_POSITIONS crystal
Ca 0.6262 0.6262 0.2524
Ca 0.3738 0.3738 0.7476
Nd 0.8266 0.8266 0.6533
Nd 0.1734 0.1734 0.3467
Nd 0.0000 0.5000 0.0000
Nd 0.5000 0.0000 0.0000
Y 0.0000 0.0000 0.0000
```

Summary:
**Density of states at the Fermi level**: 1.792 states/eV per atom

---

Run Q
A plane-wave DFT calculation with PBE was carried out for a relaxed Ca2Nd4Y crystal. Values from VASP.

Structure (Quantum ESPRESSO input):
```
&SYSTEM
  ibrav = 0, nat = 7, ntyp = 3
/
ATOMIC_SPECIES
Y 88.91 Y.upf
Ca 40.08 Ca.upf
Nd 144.24 Nd.upf
CELL_PARAMETERS angstrom
3.5457 0.0000 -0.5930
-0.2521 5.7364 -1.5073
0.2594 0.2062 12.4479
ATOMIC_POSITIONS crystal
Y 0.0000 0.0000 0.0000
Ca 0.2788 0.2787 0.5576
Ca 0.7212 0.7213 0.4424
Nd 0.0805 0.5807 0.1609
Nd 0.9195 0.4193 0.8391
Nd 0.3698 0.8696 0.7395
Nd 0.6302 0.1304 0.2605
```

Summary:
**Density of states at the Fermi level**: 1.569 states/eV per atom

---

Energies relative to the minimum, meV/atom: run P 484; run Q 0

---

Run P
A plane-wave DFT calculation with PBE was carried out for a relaxed CaNd3Y crystal. Values from VASP.

Structure (Quantum ESPRESSO input):
```
&SYSTEM
  ibrav = 0, nat = 10, ntyp = 3
/
ATOMIC_SPECIES
Ca 40.08 Ca.upf
Nd 144.24 Nd.upf
Y 88.91 Y.upf
CELL_PARAMETERS angstrom
6.2313 0.0000 0.0000
3.1157 5.3965 0.0000
3.1157 1.7988 11.8515
ATOMIC_POSITIONS crystal
Ca 0.3332 0.3332 0.0005
Ca 0.6668 0.6668 0.9996
Nd 0.0965 0.4165 0.7366
Nd 0.7505 0.0965 0.7366
Nd 0.5835 0.2495 0.2634
Nd 0.2495 0.9035 0.2634
Nd 0.9035 0.5835 0.2634
Nd 0.4165 0.7505 0.7366
Y 0.1664 0.1664 0.5006
Y 0.8336 0.8336 0.4994
```

Summary:
**Density of states at the Fermi level**: 1.793 states/eV per atom

---

Run Q
A plane-wave DFT calculation with PBE was carried out for a relaxed CaNd3Y crystal. Values from VASP.

Structure (Quantum ESPRESSO input):
```
&SYSTEM
  ibrav = 0, nat = 10, ntyp = 3
/
ATOMIC_SPECIES
Ca 40.08 Ca.upf
Nd 144.24 Nd.upf
Y 88.91 Y.upf
CELL_PARAMETERS angstrom
6.3077 -0.4701 -0.5025
-3.5956 5.2038 -0.5025
1.0395 1.8144 11.3108
ATOMIC_POSITIONS crystal
Ca 0.6558 0.3442 0.5000
Ca 0.3442 0.6558 0.5000
Nd 0.6523 0.3468 0.1938
Nd 0.0005 0.0005 0.6901
Nd 0.6532 0.3477 0.8062
Nd 0.3468 0.6523 0.1938
Nd 0.9995 0.9995 0.3099
Nd 0.3477 0.6532 0.8062
Y 0.8605 0.1395 0.0000
Y 0.1395 0.8605 0.0000
```

Summary:
**Density of states at the Fermi level**: 1.632 states/eV per atom

---

Energies relative to the minimum, meV/atom: run P 201; run Q 0

---

Run P
A plane-wave DFT calculation with PBE was carried out for a relaxed CaNd3Y7 crystal. Values from VASP.

Structure (Quantum ESPRESSO input):
```
&SYSTEM
  ibrav = 0, nat = 11, ntyp = 3
/
ATOMIC_SPECIES
Ca 40.08 Ca.upf
Nd 144.24 Nd.upf
Y 88.91 Y.upf
CELL_PARAMETERS angstrom
8.7779 0.0000 0.0000
0.0000 7.1876 0.0000
0.0000 -3.5938 6.2246
ATOMIC_POSITIONS crystal
Ca 0.4457 0.3333 0.6667
Nd 0.7893 0.5033 0.4967
Nd 0.7893 0.5033 0.0066
Nd 0.7893 0.9934 0.4967
Y 0.1149 0.1654 0.8346
Y 0.1149 0.1654 0.3308
Y 0.1222 0.6667 0.3333
Y 0.4449 0.8313 0.1687
Y 0.4449 0.3374 0.1687
Y 0.4449 0.8313 0.6626
Y 0.1149 0.6692 0.8346
```

Summary:
**Density of states at the Fermi level**: 1.636 states/eV per atom

---

Run Q
A plane-wave DFT calculation with PBE was carried out for a relaxed CaNd3Y7 crystal. Values from VASP.

Structure (Quantum ESPRESSO input):
```
&SYSTEM
  ibrav = 0, nat = 11, ntyp = 3
/
ATOMIC_SPECIES
Ca 40.08 Ca.upf
Nd 144.24 Nd.upf
Y 88.91 Y.upf
CELL_PARAMETERS angstrom
-0.1786 -6.1628 -2.1358
7.6220 -1.1228 1.1314
-0.3128 -2.9901 7.1831
ATOMIC_POSITIONS crystal
Ca 0.5000 0.5000 0.5000
Nd 0.0000 0.8264 0.1736
Nd 0.5000 0.0000 0.0000
Nd 0.0000 0.1736 0.8264
Y 0.7928 0.2347 0.2347
Y 0.7415 0.9133 0.5740
Y 0.2585 0.4260 0.0867
Y 0.7415 0.5740 0.9133
Y 0.0000 0.5000 0.5000
Y 0.2585 0.0867 0.4260
Y 0.2072 0.7653 0.7653
```

Summary:
**Density of states at the Fermi level**: 1.532 states/eV per atom

---

Energies relative to the minimum, meV/atom: run P 0; run Q 17

---

Run P
A plane-wave DFT calculation with PBE was carried out for a relaxed CaNd2Zn3 crystal. Values from VASP.

Structure (Quantum ESPRESSO input):
```
&SYSTEM
  ibrav = 0, nat = 6, ntyp = 3
/
ATOMIC_SPECIES
Ca 40.08 Ca.upf
Nd 144.24 Nd.upf
Zn 65.41 Zn.upf
CELL_PARAMETERS angstrom
-3.3127 -1.5659 -0.3264
0.8726 -1.1399 -3.3870
4.0542 -9.4582 4.2276
ATOMIC_POSITIONS crystal
Ca 0.5000 0.5000 0.5000
Nd 0.5000 0.5000 0.8354
Nd 0.5000 0.5000 0.1646
Zn 0.0000 0.0000 0.0000
Zn 0.0000 0.0000 0.6724
Zn 0.0000 0.0000 0.3276
```

Summary:
**Density of states at the Fermi level**: 0.727 states/eV per atom

---

Run Q
A plane-wave DFT calculation with PBE was carried out for a relaxed CaNd2Zn3 crystal. Values from VASP.

Structure (Quantum ESPRESSO input):
```
&SYSTEM
  ibrav = 0, nat = 12, ntyp = 3
/
ATOMIC_SPECIES
Ca 40.08 Ca.upf
Nd 144.24 Nd.upf
Zn 65.41 Zn.upf
CELL_PARAMETERS angstrom
-1.4064 -2.5926 -4.2861
3.6358 -1.9709 3.1570
-9.0266 -6.0478 6.6201
ATOMIC_POSITIONS crystal
Ca 0.3333 0.6667 0.6673
Ca 0.6667 0.3333 0.3327
Nd 0.0000 0.0000 0.5000
Nd 0.3333 0.6667 0.1717
Nd 0.6667 0.3333 0.8283
Nd 0.0000 0.0000 0.0000
Zn 0.3333 0.6667 0.4168
Zn 0.6667 0.3333 0.0818
Zn 0.0000 0.0000 0.7497
Zn 0.0000 0.0000 0.2503
Zn 0.3333 0.6667 0.9182
Zn 0.6667 0.3333 0.5832
```

Summary:
**Density of states at the Fermi level**: 0.703 states/eV per atom

---

Energies relative to the minimum, meV/atom: run P 12; run Q 0